[1]
LiHfI3: relaxed, PBE.

Computed properties:
The calculation puts the density of states at the Fermi level at 5.41 states/eV/cell. Its final energy is -3.153 eV per atom.

abc: 5.2984 5.2984 5.2984
angles: 90.00 90.00 90.00
Last column: nearest neighbours and their distance in Å.
Element x y z (fractional)
Hf 0.5000 0.5000 0.5000  12 I 3.75
I 0.0000 0.0000 0.5000  2 Li 2.65
I 0.5000 0.0000 0.0000  2 Li 2.65
I 0.0000 0.5000 0.0000  2 Li 2.65
Li 0.0000 0.0000 0.0000  6 I 2.65

[2]
HoAl2Pd9: relaxed, PBE.

Computed properties:
The calculation puts the density of states at the Fermi level at 9.38 states/eV/cell. Its final energy is -5.593 eV per atom.

abc: 4.0042 4.0042 11.7958
angles: 90.00 90.00 90.00
Last column: nearest neighbours and their distance in Å.
Element x y z (fractional)
Pd 0.5000 0.0000 0.8183  8 Pd 2.73-2.93, 2 Al 2.76, 2 Ho 2.93
Pd 0.5000 0.5000 0.3396  8 Pd 2.73-2.76, 4 Al 2.83
Pd 0.5000 0.0000 0.1817  8 Pd 2.73-2.93, 2 Al 2.76, 2 Ho 2.93
Pd 0.5000 0.0000 0.5000  4 Al 2.73, 8 Pd 2.76-2.83
Pd 0.0000 0.5000 0.8183  8 Pd 2.73-2.93, 2 Al 2.76, 2 Ho 2.93
Pd 0.5000 0.5000 0.0000  4 Ho 2.83, 8 Pd 2.93
Pd 0.0000 0.5000 0.1817  8 Pd 2.73-2.93, 2 Al 2.76, 2 Ho 2.93
Pd 0.5000 0.5000 0.6604  8 Pd 2.73-2.76, 4 Al 2.83
Pd 0.0000 0.5000 0.5000  4 Al 2.73, 8 Pd 2.76-2.83
Al 0.0000 0.0000 0.6576  12 Pd 2.73-2.83
Al 0.0000 0.0000 0.3424  12 Pd 2.73-2.83
Ho 0.0000 0.0000 0.0000  12 Pd 2.83-2.93

[3]
Gd2TlOs: relaxed, PBE.

Computed properties:
The energy above the most stable polymorph in this dataset comes out at 0.000 eV/atom. The calculation puts the density of states at the Fermi level at 2.91 states/eV/cell.

abc: 3.3996 3.3996 8.5345
angles: 90.00 90.00 90.00
Last column: nearest neighbours and their distance in Å.
Element x y z (fractional)
Tl 0.5000 0.5000 0.5000  4 Tl 3.40, 8 Gd 3.51
Gd 0.0000 0.0000 0.2003  4 Os 2.95
Gd 0.0000 0.0000 0.7997  4 Os 2.95
Os 0.5000 0.5000 0.0000  8 Gd 2.95